1.
Density functional theory data (GGA-PBE) for a relaxed SbTe2Ru crystal.

a = 3.192 Å, b = 3.192 Å, c = 9.474 Å
α = 90.00°, β = 90.00°, γ = 90.00°
Space group P4/mmm (No. 123)
Asymmetric unit:
Sb1 0.000 0.000 0.000 (multiplicity 1)
Te1 0.500 0.500 0.319 (multiplicity 2)
Ru1 0.000 0.000 0.500 (multiplicity 1)

## Properties
Formation energy from raw total energies   0.185 eV per atom
Total DFT energy (no corrections)   -18.94 eV for the cell shown
Calculated volume   97 Å³ per cell
ρ   8.2 g/cm3

***

2.
Density functional theory data (GGA-PBE) for a relaxed Sm2Al3Ga4 crystal.

a = 5.850 Å, b = 15.480 Å, c = 7.907 Å
α = 90.00°, β = 90.00°, γ = 90.00°
Space group Cmce (No. 64)
Asymmetric unit:
Sm1 0.000 0.113 0.086 (multiplicity 8)
Al1 0.000 0.000 0.500 (multiplicity 4)
Al2 0.250 0.219 0.750 (multiplicity 8)
Ga1 0.000 0.180 0.464 (multiplicity 8)
Ga2 0.250 0.053 0.750 (multiplicity 8)

## Properties
Total DFT energy (no corrections)   -147.65 eV for the cell shown
Calculated volume   716 Å³ per cell
DFT formation energy   -460 meV/atom
ρ   6.1 g/cm3

***

3.
Density functional theory data (GGA-PBE) for a relaxed RbSrAgSe2 crystal.

a = 8.261 Å, b = 16.021 Å, c = 5.735 Å
α = 90.00°, β = 90.00°, γ = 90.00°
Space group Cmme (No. 67)
Asymmetric unit:
Rb1 0.000 0.250 0.214 (multiplicity 4)
Sr1 0.250 0.000 0.500 (multiplicity 4)
Ag1 0.000 0.000 0.000 (multiplicity 4)
Se1 0.000 0.118 0.719 (multiplicity 8)

## Properties
Formation energy from raw total energies   -1.113 eV per atom
Total DFT energy (no corrections)   -72.14 eV for the cell shown
Calculated volume   759 Å³ per cell
ρ   3.8 g/cm3

***

4.
Density functional theory data (GGA-PBE) for a relaxed K2RuPb crystal.

a = 3.372 Å, b = 4.314 Å, c = 20.118 Å
α = 90.00°, β = 90.00°, γ = 90.00°
Space group Immm (No. 71)
Asymmetric unit:
K1 0.000 0.000 0.148 (multiplicity 4)
Ru1 0.000 0.500 0.500 (multiplicity 2)
Pb1 0.000 0.500 0.000 (multiplicity 2)

## Properties
Total DFT energy (no corrections)   -27.47 eV for the cell shown
Calculated volume   293 Å³ per cell
DFT formation energy   361 meV/atom
ρ   4.4 g/cm3

***

5.
Density functional theory data (GGA-PBE) for a relaxed ScCd3 crystal.

a = 3.2595 Å, b = 3.2595 Å, c = 29.9088 Å
α = 90.00°, β = 90.00°, γ = 120.00°
Space group R-3m (No. 166, hexagonal axes)
Asymmetric unit:
Sc1 0.0000 0.0000 0.0000 (multiplicity 3)
Cd1 0.0000 0.0000 0.2506 (multiplicity 6)
Cd2 0.0000 0.0000 0.5000 (multiplicity 3)

## Properties
Total DFT energy (no corrections)   -27.90 eV for the cell shown
Calculated volume   275 Å³ per cell
DFT formation energy   -56 meV/atom
ρ   6.9 g/cm3

***

6.
Density functional theory data (GGA-PBE) for a relaxed Be4Nb crystal.

a = 7.417 Å, b = 7.417 Å, c = 7.417 Å
α = 90.00°, β = 90.00°, γ = 90.00°
Space group I-43m (No. 217)
Asymmetric unit:
Be1 0.000 0.000 0.349 (multiplicity 12)
Be2 0.000 0.250 0.500 (multiplicity 12)
Be3 0.094 0.094 0.094 (multiplicity 8)
Nb1 0.225 0.225 0.775 (multiplicity 8)

## Properties
Total DFT energy (no corrections)   -201.77 eV for the cell shown
Energy above the most stable polymorph in this dataset   174 meV/atom
Calculated volume   408 Å³ per cell
DFT formation energy   -49 meV/atom
ρ   4.2 g/cm3